# MnAlF5 GGA+U optimized geometry
# - raw total energy (eV per atom) = -6.114
# - density (g/cm3) = 3.304
data_MnAlF5
_chemical_formula_sum 'Mn2 Al2 F10'
_cell_length_a 3.6334
_cell_length_b 6.3688
_cell_length_c 7.6841
_cell_angle_alpha 90.00
_cell_angle_beta 90.00
_cell_angle_gamma 90.00
_symmetry_space_group_name_H-M 'I m m m'
_symmetry_Int_Tables_number 71
_symmetry_space_group_name_Hall '-I 2 2'
loop_
_atom_site_label
_atom_site_fract_x
_atom_site_fract_y
_atom_site_fract_z
_atom_site_occupancy
Mn1 0.0000 0.0000 0.0000 1
Al1 0.0000 0.0000 0.5000 1
F1 0.0000 0.0000 0.2663 1
F2 0.0000 0.2904 0.5000 1
F3 0.0000 0.5000 0.0000 1